The following is a PBE-GGA calculation of a relaxed structure of Sc2TiHgO, from Alexandria via LeMat-Bulk.

## Properties
SG   P4/mmm, No. 123
Formation energy (no corrections)   -1.3469 eV per atom
Raw total energy   -6.510 eV per atom

Cell: 4.450 4.450 4.167 Å, 90.00 90.00 90.00°
Fractional positions:
Ti 0.000 0.000 0.500
O 0.000 0.000 0.000
Sc 0.000 0.500 0.000
Sc 0.500 0.000 0.000
Hg 0.500 0.500 0.500

The following is a PBE-GGA calculation of a relaxed structure of ScTi2HgO, from Alexandria via LeMat-Bulk.

## Properties
SG   P4/mmm, No. 123
Formation energy (no corrections)   -1.2156 eV per atom
Raw total energy   -6.692 eV per atom

Cell: 4.184 4.184 4.447 Å, 90.00 90.00 90.00°
Fractional positions:
Ti 0.000 0.500 0.000
Ti 0.500 0.000 0.000
Sc 0.000 0.000 0.500
Hg 0.500 0.500 0.500
O 0.000 0.000 0.000

The following is a PBE-GGA calculation of a relaxed structure of Sc4TlHgO, from Alexandria via LeMat-Bulk.

## Properties
SG   Cmcm, No. 63
Formation energy (no corrections)   -1.0654 eV per atom
Raw total energy   -5.773 eV per atom

Cell: 6.148 6.149 8.129 Å, 90.00 112.22 90.00°
Fractional positions:
Hg 0.386 0.250 0.772
Hg 0.614 0.750 0.228
Sc 0.578 0.250 0.156
Sc 0.914 0.250 0.828
Sc 0.000 0.000 0.500
Sc 0.000 0.500 0.500
Sc 0.500 0.000 0.500
Sc 0.422 0.750 0.844
Sc 0.086 0.750 0.172
Sc 0.500 0.500 0.500
Tl 0.109 0.250 0.218
Tl 0.891 0.750 0.782
O 0.751 0.250 0.503
O 0.249 0.750 0.497

The following is a PBE-GGA calculation of a relaxed structure of TmSc2HgO, from Alexandria via LeMat-Bulk.

## Properties
SG   P4/mmm, No. 123
Formation energy (no corrections)   -1.4520 eV per atom
Raw total energy   -5.931 eV per atom

Cell: 4.623 4.469 4.469 Å, 90.00 90.00 90.00°
Fractional positions:
Tm 0.500 0.000 0.000
Hg 0.500 0.500 0.500
Sc 0.000 0.000 0.500
Sc 0.000 0.500 0.000
O 0.000 0.000 0.000

The following is a PBE-GGA calculation of a relaxed structure of ScUHgO6, from Alexandria via LeMat-Bulk.

## Properties
SG   Imma, No. 74
Formation energy (no corrections)   -2.1700 eV per atom
Raw total energy   -7.467 eV per atom

Cell: 8.083 9.576 7.670 Å, 128.63 121.80 90.00°
Fractional positions:
Hg 0.901 0.651 0.801
Hg 0.099 0.349 0.199
O 0.783 0.014 0.218
O 0.566 0.986 0.782
O 0.566 0.296 0.782
O 0.217 0.296 0.782
O 0.434 0.014 0.218
O 0.671 0.421 0.342
O 0.329 0.579 0.658
O 0.869 0.119 0.737
O 0.783 0.704 0.218
O 0.131 0.881 0.263
O 0.434 0.704 0.218
O 0.217 0.986 0.782
U 0.500 0.500 0.000
U 0.500 0.000 0.000
Sc 0.500 0.000 0.500
Sc 0.000 0.000 0.500

The following is a PBE-GGA calculation of a relaxed structure of YScHgO2, from Alexandria via LeMat-Bulk.

## Properties
SG   P4/mmm, No. 123
Formation energy (no corrections)   0.2845 eV per atom
Raw total energy   -4.318 eV per atom

Cell: 4.523 5.157 4.523 Å, 90.00 90.00 90.00°
Fractional positions:
Y 0.500 0.500 0.500
Sc 0.000 0.500 0.000
O 0.000 0.000 0.500
O 0.500 0.000 0.000
Hg 0.000 0.000 0.000

The following is a PBE-GGA calculation of a relaxed structure of Y2ScHgO, from Alexandria via LeMat-Bulk.

## Properties
SG   P4/mmm, No. 123
Formation energy (no corrections)   -1.4155 eV per atom
Raw total energy   -6.319 eV per atom

Cell: 4.766 4.766 4.489 Å, 90.00 90.00 90.00°
Fractional positions:
Sc 0.000 0.000 0.500
Y 0.000 0.500 0.000
Y 0.500 0.000 0.000
Hg 0.500 0.500 0.500
O 0.000 0.000 0.000

The following is a PBE-GGA calculation of a relaxed structure of Sc4ZnHgO, from Alexandria via LeMat-Bulk.

## Properties
SG   Cmcm, No. 63
Formation energy (no corrections)   -1.0346 eV per atom
Raw total energy   -5.586 eV per atom

Cell: 6.192 6.199 7.654 Å, 90.00 113.86 90.00°
Fractional positions:
Sc 0.000 0.000 0.500
Sc 0.000 0.500 0.500
Sc 0.926 0.250 0.853
Sc 0.500 0.000 0.500
Sc 0.074 0.750 0.147
Sc 0.420 0.750 0.839
Sc 0.580 0.250 0.161
Sc 0.500 0.500 0.500
Hg 0.616 0.750 0.231
Hg 0.384 0.250 0.769
O 0.249 0.750 0.499
O 0.751 0.250 0.501
Zn 0.122 0.250 0.245
Zn 0.878 0.750 0.755

The following is a PBE-GGA calculation of a relaxed structure of ZrSc2HgO, from Alexandria via LeMat-Bulk.

## Properties
SG   P4/mmm, No. 123
Formation energy (no corrections)   -1.3497 eV per atom
Raw total energy   -6.644 eV per atom

Cell: 4.432 4.432 4.500 Å, 90.00 90.00 90.00°
Fractional positions:
Sc 0.000 0.500 0.000
Sc 0.500 0.000 0.000
Zr 0.000 0.000 0.500
Hg 0.500 0.500 0.500
O 0.000 0.000 0.000

The following is a PBE-GGA calculation of a relaxed structure of Zr2ScHgO, from Alexandria via LeMat-Bulk.

## Properties
SG   P4/mmm, No. 123
Formation energy (no corrections)   -1.2120 eV per atom
Raw total energy   -6.950 eV per atom

Cell: 4.505 4.505 4.429 Å, 90.00 90.00 90.00°
Fractional positions:
Sc 0.000 0.000 0.500
Zr 0.000 0.500 0.000
Zr 0.500 0.000 0.000
Hg 0.500 0.500 0.500
O 0.000 0.000 0.000

The following is a PBE-GGA calculation of a relaxed structure of Hg2SeO3, from Alexandria via LeMat-Bulk.

## Properties
SG   Ibam, No. 72
Formation energy (no corrections)   -0.5771 eV per atom
Raw total energy   -3.738 eV per atom

Cell: 9.125 9.125 9.125 Å, 126.85 106.02 97.15°
Fractional positions:
Se 0.840 0.300 0.540
Se 0.240 0.200 0.040
Se 0.160 0.700 0.460
Se 0.760 0.800 0.960
O 0.709 0.675 0.033
O 0.358 0.825 0.533
O 0.922 0.452 0.806
O 0.354 0.384 0.306
O 0.291 0.325 0.967
O 0.642 0.175 0.467
O 0.078 0.548 0.194
O 0.922 0.116 0.471
O 0.646 0.952 0.029
O 0.354 0.048 0.971
O 0.646 0.616 0.694
O 0.078 0.884 0.529
Hg 0.225 0.649 0.090
Hg 0.775 0.351 0.910
Hg 0.775 0.865 0.424
Hg 0.441 0.365 0.590
Hg 0.441 0.851 0.076
Hg 0.225 0.135 0.576
Hg 0.559 0.635 0.410
Hg 0.559 0.149 0.924

The following is a PBE-GGA calculation of a relaxed structure of HgSeO3, from Alexandria via LeMat-Bulk.

## Properties
SG   P2_1/c, No. 14
Formation energy (no corrections)   -0.6270 eV per atom
Raw total energy   -4.359 eV per atom

Cell: 10.369 4.669 7.501 Å, 76.77 90.00 90.00°
Fractional positions:
Se 0.418 0.673 0.680
Se 0.918 0.327 0.820
Se 0.082 0.673 0.180
Se 0.582 0.327 0.320
O 0.644 0.009 0.467
O 0.144 0.991 0.033
O 0.782 0.496 0.724
O 0.218 0.504 0.276
O 0.856 0.009 0.967
O 0.718 0.496 0.224
O 0.972 0.180 0.634
O 0.472 0.820 0.866
O 0.356 0.991 0.533
O 0.282 0.504 0.776
O 0.528 0.180 0.134
O 0.028 0.820 0.366
Hg 0.668 0.891 0.903
Hg 0.332 0.109 0.097
Hg 0.832 0.891 0.403
Hg 0.168 0.109 0.597

The following is a PBE-GGA calculation of a relaxed structure of Hg4SeO4, from Alexandria via LeMat-Bulk.

## Properties
SG   I4/m, No. 87
Formation energy (no corrections)   -0.0742 eV per atom
Raw total energy   -2.799 eV per atom

Cell: 7.189 6.600 6.600 Å, 72.75 57.00 57.00°
Fractional positions:
O 0.000 0.224 0.775
O 0.775 0.225 0.224
O 0.225 0.775 0.776
O 0.000 0.776 0.225
Se 0.000 0.000 0.000
Hg 0.688 0.629 0.995
Hg 0.312 0.371 0.005
Hg 0.683 0.005 0.629
Hg 0.317 0.995 0.371

The following is a PBE-GGA calculation of a relaxed structure of HgSeO2, from Alexandria via LeMat-Bulk.

## Properties
Energy above the lowest structure with this stoichiometry   0.2027 eV/atom
SG   R-3m, No. 166
Formation energy (no corrections)   -0.1549 eV per atom
Raw total energy   -3.581 eV per atom

Cell: 7.874 7.874 7.874 Å, 23.12 23.12 23.12°
Fractional positions:
Hg 0.000 0.000 0.000
O 0.880 0.880 0.880
O 0.120 0.120 0.120
Se 0.500 0.500 0.500

The following is a PBE-GGA calculation of a relaxed structure of HgSeO3, from Alexandria via LeMat-Bulk.

## Properties
SG   Pm-3m, No. 221
Formation energy (no corrections)   0.8714 eV per atom
Raw total energy   -2.861 eV per atom

Cell: 4.142 4.142 4.142 Å, 90.00 90.00 90.00°
Fractional positions:
O 0.000 0.500 0.000
O 0.000 0.000 0.500
O 0.500 0.000 0.000
Se 0.500 0.500 0.500
Hg 0.000 0.000 0.000

The following is a PBE-GGA calculation of a relaxed structure of Hg3SeO4, from Alexandria via LeMat-Bulk.

## Properties
SG   Imm2, No. 44
Formation energy (no corrections)   -0.3711 eV per atom
Raw total energy   -3.399 eV per atom

Cell: 6.647 6.647 6.647 Å, 88.83 129.44 112.65°
Fractional positions:
Hg 0.652 0.720 0.372
Hg 0.612 0.000 0.612
Hg 0.652 0.280 0.931
O 0.222 0.646 0.868
O 0.688 0.322 0.366
O 0.044 0.678 0.366
O 0.222 0.354 0.575
Se 0.061 0.500 0.561

The following is a PBE-GGA calculation of a relaxed structure of Hg3Se4O5, from Alexandria via LeMat-Bulk.

## Properties
SG   P-1, No. 2
Formation energy (no corrections)   -0.5358 eV per atom
Raw total energy   -3.839 eV per atom

Cell: 9.972 7.994 7.975 Å, 72.53 64.54 74.61°
Fractional positions:
Hg 0.778 0.007 0.219
Hg 0.286 0.487 0.711
Hg 0.917 0.788 0.820
Hg 0.222 0.993 0.781
Hg 0.714 0.513 0.289
Hg 0.083 0.212 0.180
O 0.219 0.272 0.400
O 0.295 0.579 0.133
O 0.781 0.728 0.600
O 0.559 0.584 0.615
O 0.018 0.546 0.163
O 0.982 0.454 0.837
O 0.705 0.421 0.867
O 0.072 0.861 0.141
O 0.928 0.139 0.859
O 0.441 0.416 0.385
Se 0.377 0.358 0.249
Se 0.087 0.646 0.261
Se 0.913 0.354 0.739
Se 0.811 0.186 0.412
Se 0.623 0.642 0.751
Se 0.334 0.168 0.899
Se 0.666 0.832 0.101
Se 0.189 0.814 0.588

The following is a PBE-GGA calculation of a relaxed structure of HgSeO2, from Alexandria via LeMat-Bulk.

## Properties
Energy above the lowest structure with this stoichiometry   0.9329 eV/atom
SG   Fm-3m, No. 225
Formation energy (no corrections)   0.5752 eV per atom
Raw total energy   -2.850 eV per atom

Cell: 4.240 4.240 4.240 Å, 60.00 60.00 60.00°
Fractional positions:
Hg 0.500 0.500 0.500
O 0.250 0.250 0.250
O 0.750 0.750 0.750
Se 0.000 0.000 0.000

The following is a PBE-GGA calculation of a relaxed structure of HgSeO5, from Alexandria via LeMat-Bulk.

## Properties
SG   C2/c, No. 15
Formation energy (no corrections)   0.0533 eV per atom
Raw total energy   -4.029 eV per atom

Cell: 5.371 5.371 7.509 Å, 72.06 72.06 68.68°
Fractional positions:
Hg 0.478 0.522 0.750
Hg 0.522 0.478 0.250
O 0.793 0.348 0.505
O 0.295 0.104 0.393
O 0.087 0.913 0.750
O 0.104 0.295 0.893
O 0.207 0.652 0.495
O 0.896 0.705 0.107
O 0.913 0.087 0.250
O 0.705 0.896 0.607
O 0.652 0.207 0.995
O 0.348 0.793 0.005
Se 0.000 0.000 0.500
Se 0.000 0.000 0.000

The following is a PBE-GGA calculation of a relaxed structure of HgSeO3, from Alexandria via LeMat-Bulk.

## Properties
SG   Pnma, No. 62
Formation energy (no corrections)   -0.6238 eV per atom
Raw total energy   -4.356 eV per atom

Cell: 6.144 6.323 8.690 Å, 90.00 90.00 90.00°
Fractional positions:
Hg 0.500 0.500 0.000
Hg 0.000 0.000 0.000
Hg 0.000 0.000 0.500
Hg 0.500 0.500 0.500
O 0.385 0.213 0.592
O 0.115 0.713 0.592
O 0.265 0.343 0.250
O 0.765 0.157 0.750
O 0.615 0.787 0.092
O 0.385 0.213 0.908
O 0.615 0.787 0.408
O 0.735 0.657 0.750
O 0.115 0.713 0.908
O 0.885 0.287 0.408
O 0.235 0.843 0.250
O 0.885 0.287 0.092
Se 0.996 0.578 0.750
Se 0.496 0.922 0.250
Se 0.504 0.078 0.750
Se 0.004 0.422 0.250

The following is a PBE-GGA calculation of a relaxed structure of Hg2Se2O5, from Alexandria via LeMat-Bulk.

## Properties
SG   C2/m, No. 12
Formation energy (no corrections)   -0.4111 eV per atom
Raw total energy   -4.007 eV per atom

Cell: 4.287 6.723 6.099 Å, 87.34 90.00 108.59°
Fractional positions:
Se 0.148 0.297 0.941
Se 0.852 0.703 0.059
O 0.843 0.686 0.327
O 0.000 0.000 0.000
O 0.157 0.314 0.673
O 0.341 0.682 0.975
O 0.659 0.318 0.025
Hg 0.564 0.127 0.330
Hg 0.436 0.873 0.670

The following is a PBE-GGA calculation of a relaxed structure of HgSeO2, from Alexandria via LeMat-Bulk.

## Properties
Energy above the lowest structure with this stoichiometry   0.0000 eV/atom
SG   C2, No. 5
Formation energy (no corrections)   -0.3576 eV per atom
Raw total energy   -3.783 eV per atom

Cell: 5.798 5.593 5.593 Å, 40.78 59.37 59.37°
Fractional positions:
O 0.348 0.475 0.831
O 0.652 0.169 0.525
Se 0.500 0.570 0.430
Hg 0.000 0.846 0.154